No. 1
VASP calculation (PBE-GGA) on crystalline Sm3Np at its relaxed geometry.

**Offset from the most stable computed form**: 0.00 eV per formula unit
**Space group**: Pm-3m (221)
**Mass density**: 9.007 Mg/m³
**Total moment**: 4.772 μB per formula unit

a = 5.0245 Å, b = 5.0245 Å, c = 5.0245 Å
α = 90.00°, β = 90.00°, γ = 90.00°
Fractional coordinates of all 4 atoms:
Sm1 0.0000 0.0000 0.5000
Sm2 0.0000 0.5000 0.0000
Sm3 0.5000 0.0000 0.0000
Np1 0.5000 0.5000 0.5000



No. 2
VASP calculation (PBE-GGA) on crystalline SmNp4 at its relaxed geometry.

**Space group**: Pm-3m (221)
**Mass density**: 11.492 Mg/m³
**Total moment**: 18.462 μB per formula unit
**VASP energy**: -9.521 eV/atom

a = 5.4142 Å, b = 5.4142 Å, c = 5.4142 Å
α = 90.00°, β = 90.00°, γ = 90.00°
Fractional coordinates of all 5 atoms:
Sm1 0.0000 0.0000 0.0000
Np1 0.0000 0.0000 0.5000
Np2 0.0000 0.5000 0.0000
Np3 0.5000 0.0000 0.0000
Np4 0.5000 0.5000 0.5000



No. 3
VASP calculation (PBE-GGA) on crystalline Sm4Np at its relaxed geometry.

**Space group**: Pm-3m (221)
**Mass density**: 7.733 Mg/m³
**Total moment**: 6.751 μB per formula unit
**VASP energy**: -5.699 eV/atom

a = 5.6467 Å, b = 5.6467 Å, c = 5.6467 Å
α = 90.00°, β = 90.00°, γ = 90.00°
Fractional coordinates of all 5 atoms:
Sm1 0.0000 0.0000 0.0000
Sm2 0.0000 0.5000 0.5000
Sm3 0.5000 0.0000 0.5000
Sm4 0.5000 0.5000 0.0000
Np1 0.5000 0.5000 0.5000



No. 4
VASP calculation (PBE-GGA) on crystalline Sm3Np at its relaxed geometry.

**Offset from the most stable computed form**: 0.01 eV per formula unit
**Space group**: P6_3/mmc (194)
**Mass density**: 8.944 Mg/m³
**Total moment**: 4.963 μB per formula unit

a = 7.1661 Å, b = 7.1661 Å, c = 5.7454 Å
α = 90.00°, β = 90.00°, γ = 120.00°
Fractional coordinates of all 8 atoms:
Sm1 0.1693 0.3386 0.2500
Sm2 0.1693 0.8307 0.2500
Sm3 0.3386 0.1693 0.7500
Sm4 0.6614 0.8307 0.2500
Sm5 0.8307 0.1693 0.7500
Sm6 0.8307 0.6614 0.7500
Np1 0.3333 0.6667 0.7500
Np2 0.6667 0.3333 0.2500



No. 5
VASP calculation (PBE-GGA) on crystalline SmNpSn6 at its relaxed geometry.

**Space group**: P4/mmm (123)
**Mass density**: 8.817 Mg/m³
**Total moment**: 4.139 μB per formula unit
**VASP energy**: -5.522 eV/atom

a = 4.7041 Å, b = 4.7041 Å, c = 9.3586 Å
α = 90.00°, β = 90.00°, γ = 90.00°
Fractional coordinates of all 8 atoms:
Sm1 0.0000 0.0000 0.0000
Np1 0.0000 0.0000 0.5000
Sn1 0.0000 0.5000 0.2554
Sn2 0.0000 0.5000 0.7446
Sn3 0.5000 0.0000 0.2554
Sn4 0.5000 0.0000 0.7446
Sn5 0.5000 0.5000 0.0000
Sn6 0.5000 0.5000 0.5000



No. 6
VASP calculation (PBE-GGA) on crystalline Sm3NpSn12 at its relaxed geometry.

**Space group**: P4/mmm (123)
**Mass density**: 8.343 Mg/m³
**Total moment**: 4.064 μB per formula unit
**VASP energy**: -5.094 eV/atom

a = 4.7245 Å, b = 4.7245 Å, c = 18.8368 Å
α = 90.00°, β = 90.00°, γ = 90.00°
Fractional coordinates of all 16 atoms:
Sm1 0.0000 0.0000 0.0000
Sm2 0.0000 0.0000 0.2553
Sm3 0.0000 0.0000 0.7447
Np1 0.0000 0.0000 0.5000
Sn1 0.0000 0.5000 0.1269
Sn2 0.0000 0.5000 0.3792
Sn3 0.0000 0.5000 0.6208
Sn4 0.0000 0.5000 0.8731
Sn5 0.5000 0.0000 0.1269
Sn6 0.5000 0.0000 0.3792
Sn7 0.5000 0.0000 0.6208
Sn8 0.5000 0.0000 0.8731
Sn9 0.5000 0.5000 0.0000
Sn10 0.5000 0.5000 0.2524
Sn11 0.5000 0.5000 0.5000
Sn12 0.5000 0.5000 0.7476



No. 7
VASP calculation (PBE-GGA) on crystalline SmNpTc at its relaxed geometry.

**Space group**: Fddd (70)
**Mass density**: 11.309 Mg/m³
**Total moment**: 3.128 μB per formula unit
**VASP energy**: -9.083 eV/atom

a = 11.8239 Å, b = 11.4043 Å, c = 5.2610 Å
α = 81.41°, β = 72.49°, γ = 26.10°
Fractional coordinates of all 12 atoms:
Sm1 0.0556 0.6944 0.0556
Sm2 0.3056 0.9444 0.3056
Sm3 0.6944 0.0556 0.6944
Sm4 0.9444 0.3056 0.9444
Np1 0.2743 0.2743 0.4757
Np2 0.4757 0.4757 0.2743
Np3 0.5243 0.5243 0.7257
Np4 0.7257 0.7257 0.5243
Tc1 0.0060 0.0060 0.7440
Tc2 0.2560 0.2560 0.9940
Tc3 0.7440 0.7440 0.0060
Tc4 0.9940 0.9940 0.2560



No. 8
VASP calculation (PBE-GGA) on crystalline Sm2NpTc2 at its relaxed geometry.

**Space group**: C2/c (15)
**Mass density**: 10.372 Mg/m³
**Total moment**: 1.809 μB per formula unit
**VASP energy**: -8.663 eV/atom

a = 5.8054 Å, b = 5.8054 Å, c = 7.9374 Å
α = 97.31°, β = 97.31°, γ = 62.64°
Fractional coordinates of all 10 atoms:
Sm1 0.0249 0.2772 0.1520
Sm2 0.2772 0.0249 0.6520
Sm3 0.7228 0.9751 0.3480
Sm4 0.9751 0.7228 0.8480
Np1 0.3667 0.6333 0.2500
Np2 0.6333 0.3667 0.7500
Tc1 0.2509 0.5031 0.4847
Tc2 0.4969 0.7491 0.0153
Tc3 0.5031 0.2509 0.9847
Tc4 0.7491 0.4969 0.5153



No. 9
VASP calculation (PBE-GGA) on crystalline SmNp2Tl3Te6 at its relaxed geometry.

**Space group**: C2/m (12)
**Mass density**: 7.716 Mg/m³
**Formation energy without anion corrections**: -0.726 eV/atom
**Total moment**: 8.000 μB per formula unit

a = 7.7964 Å, b = 7.7964 Å, c = 8.5901 Å
α = 98.70°, β = 98.70°, γ = 119.99°
Fractional coordinates of all 12 atoms:
Sm1 0.0000 0.0000 0.0000
Np1 0.3331 0.6669 0.0000
Np2 0.6669 0.3331 0.0000
Tl1 0.1659 0.8341 0.5000
Tl2 0.5000 0.5000 0.5000
Tl3 0.8341 0.1659 0.5000
Te1 0.0722 0.4080 0.2161
Te2 0.2644 0.2644 0.7846
Te3 0.4080 0.0722 0.2161
Te4 0.5920 0.9278 0.7839
Te5 0.7356 0.7356 0.2154
Te6 0.9278 0.5920 0.7839



No. 10
VASP calculation (PBE-GGA) on crystalline Sm3NpTl3Te8 at its relaxed geometry.

**Space group**: R-3m (166)
**Mass density**: 6.733 Mg/m³
**Formation energy without anion corrections**: -0.966 eV/atom
**Total moment**: 3.023 μB per formula unit

a = 9.7288 Å, b = 9.7288 Å, c = 9.7288 Å
α = 54.83°, β = 54.83°, γ = 54.83°
Fractional coordinates of all 15 atoms:
Sm1 0.0000 0.5000 0.5000
Sm2 0.5000 0.0000 0.5000
Sm3 0.5000 0.5000 0.0000
Np1 0.0000 0.0000 0.0000
Tl1 0.0000 0.0000 0.5000
Tl2 0.0000 0.5000 0.0000
Tl3 0.5000 0.0000 0.0000
Te1 0.2345 0.2345 0.7448
Te2 0.2345 0.7448 0.2345
Te3 0.2552 0.7655 0.7655
Te4 0.2604 0.2604 0.2604
Te5 0.7396 0.7396 0.7396
Te6 0.7448 0.2345 0.2345
Te7 0.7655 0.2552 0.7655
Te8 0.7655 0.7655 0.2552



No. 11
VASP calculation (PBE-GGA) on crystalline Sm2NpTl3Te6 at its relaxed geometry.

**Space group**: C2/m (12)
**Mass density**: 7.341 Mg/m³
**Formation energy without anion corrections**: -0.895 eV/atom
**Total moment**: 3.999 μB per formula unit

a = 7.8357 Å, b = 7.8357 Å, c = 8.5621 Å
α = 98.78°, β = 98.78°, γ = 120.01°
Fractional coordinates of all 12 atoms:
Sm1 0.1666 0.8334 0.0000
Sm2 0.8334 0.1666 0.0000
Np1 0.5000 0.5000 0.0000
Tl1 0.0000 0.0000 0.5000
Tl2 0.3332 0.6668 0.5000
Tl3 0.6668 0.3332 0.5000
Te1 0.0952 0.4277 0.7830
Te2 0.2399 0.2399 0.2173
Te3 0.4277 0.0952 0.7830
Te4 0.5723 0.9048 0.2170
Te5 0.7601 0.7601 0.7827
Te6 0.9048 0.5723 0.2170



No. 12
VASP calculation (PBE-GGA) on crystalline SmThNp at its relaxed geometry.

**Space group**: C2/m (12)
**Mass density**: 11.855 Mg/m³
**Total moment**: 0.343 μB per formula unit
**VASP energy**: -8.136 eV/atom

a = 8.7460 Å, b = 8.7460 Å, c = 5.8259 Å
α = 99.49°, β = 99.49°, γ = 23.27°
Fractional coordinates of all 6 atoms:
Sm1 0.0613 0.0613 0.2827
Sm2 0.9387 0.9387 0.7173
Th1 0.3662 0.3662 0.1849
Th2 0.6338 0.6338 0.8151
Np1 0.2657 0.2657 0.6379
Np2 0.7343 0.7343 0.3621